MgBiOs2: optimized geometry, GGA-PBE.

a = 7.6887 Å, b = 7.6887 Å, c = 6.0522 Å
α = 50.56°, β = 50.56°, γ = 90.00°
Fractional coordinates of all 8 atoms:
Mg: 0.5000 0.5000 0.0000
Mg: 0.2500 0.7500 0.5000
Os: 0.1213 0.6250 0.2500
Os: 0.8750 0.8787 0.7500
Os: 0.3750 0.3713 0.7500
Os: 0.6287 0.1250 0.2500
Bi: 0.0000 0.0000 0.0000
Bi: 0.7500 0.2500 0.5000

Formation energy from the elements: 1.2115 eV per atom
Excess energy over the best structure of this formula in the dataset: 549.8 meV per atom
Density of states at the Fermi level: 8.999 states/eV per cell
Symmetry: No. 122
Uncorrected energy: -0.212 hartree per atom



V5H2: optimized geometry, GGA-PBE.

a = 4.3456 Å, b = 5.3272 Å, c = 6.6878 Å
α = 82.82°, β = 108.96°, γ = 90.00°
Fractional coordinates of all 14 atoms:
V: 0.2850 0.1528 0.5844
V: 0.4987 0.7500 0.0000
V: 0.5013 0.2500 0.0000
V: 0.9058 0.9487 0.7944
V: 0.7150 0.8472 0.4156
V: 0.2994 0.6528 0.5844
V: 0.7006 0.3472 0.4156
V: 0.0942 0.0513 0.2056
V: 0.1114 0.5513 0.2056
V: 0.8886 0.4487 0.7944
H: 0.4594 0.9758 0.1599
H: 0.7005 0.4758 0.1599
H: 0.5406 0.0242 0.8401
H: 0.2995 0.5242 0.8401

Density of states at the Fermi level: 12.993 states/eV per cell
Symmetry: No. 15
Uncorrected energy: -0.279 hartree per atom



Q: The highest density of states at the Fermi level belongs to which entry?
A: V5H2



Q: Which formula does entry 1 have?
A: MgBiOs2



Q: Which value of density of states at the Fermi level does entry 2 give?
A: 12.993 states/eV per cell



Q: The highest density of states at the Fermi level belongs to which entry?
A: V5H2